(1)
Compound: CoCuNi2
Source: Alexandria
Functional: PBE
Structure: optimized geometry

Cell: 2.505 2.505 7.081 Å, 90.00 90.00 90.00°
Space group P4/mmm (No. 123)
Inequivalent atoms, fractional coordinates:
Co  0.000  0.000  0.000 (multiplicity 1)
Cu  0.000  0.000  0.500 (multiplicity 1)
Ni  0.500  0.500  0.242 (multiplicity 2)

Calculated values
D(E_F) in states/eV/atom: 0.8014
Raw total energy in eV/atom: -5.680
M_tot in μB/cell: 2.7
ΔH_f (0 K) in eV per atom: 0.011

(2)
Compound: Li2PCl2
Source: Alexandria
Functional: PBE
Structure: optimized geometry

Cell: 4.440 4.440 14.071 Å, 90.00 90.00 90.00°
Space group I4/mmm (No. 139)
Inequivalent atoms, fractional coordinates:
Li  0.000  0.500  0.250 (multiplicity 4)
P  0.000  0.000  0.000 (multiplicity 2)
Cl  0.000  0.000  0.317 (multiplicity 4)

Calculated values
Raw formation energy in meV per atom: -708
Raw total energy in eV/atom: -3.294
M_tot in μB/cell: 6.0